Entry 1:
A relaxed ZnAg4 crystal. Source: the Alexandria database, functional PBEsol.

Calculated values
crystal system: orthorhombic
size of the total moment: 0.00 μB/f.u.
excess energy over the best structure of this formula in the dataset: 6 meV/atom
total DFT energy (no corrections): -2.988 eV per atom
N(E_F): 1.3 states/eV per cell
energy relative to the elements: -22 meV per atom

a = 2.8755 Å, b = 3.8960 Å, c = 7.5391 Å
α = 104.97°, β = 100.99°, γ = 90.00°
With the nearest neighbours (Å) after each atom.
Atoms (fractional coordinates):
Zn 0.5000 0.5000 0.0000  10 Ag 2.78-2.84, 2 Zn 2.88
Ag 0.9037 0.9037 0.8075  8 Ag 2.75-2.93, 4 Zn 2.78
Ag 0.3013 0.3013 0.6026  11 Ag 2.83-2.93, 1 Zn 2.84
Ag 0.6987 0.6987 0.3974  11 Ag 2.83-2.93, 1 Zn 2.84
Ag 0.0963 0.0963 0.1925  8 Ag 2.75-2.93, 4 Zn 2.78

Entry 2:
A relaxed Zn8Ag5 crystal. Source: the Alexandria database, functional PBEsol.

Calculated values
crystal system: cubic
size of the total moment: 0.00 μB/f.u.
total DFT energy (no corrections): -2.317 eV per atom
N(E_F): 2.4 states/eV per cell
energy relative to the elements: -70 meV per atom

a = 7.9780 Å, b = 7.9780 Å, c = 7.9780 Å
α = 109.47°, β = 109.47°, γ = 109.47°
With the nearest neighbours (Å) after each atom.
Atoms (fractional coordinates):
Ag 0.0000 0.3575 0.0000  9 Zn 2.61-2.81, 3 Ag 2.83
Ag 0.3575 0.0000 0.0000  9 Zn 2.61-2.81, 3 Ag 2.83
Ag 0.6425 0.6425 0.6425  9 Zn 2.61-2.81, 3 Ag 2.83
Ag 0.0000 0.0000 0.3575  9 Zn 2.61-2.81, 3 Ag 2.83
Ag 0.0000 0.6462 0.6462  10 Zn 2.64-2.94, 3 Ag 2.69-2.83
Ag 0.0000 0.3538 0.3538  10 Zn 2.64-2.94, 3 Ag 2.69-2.83
Ag 0.3538 0.0000 0.3538  10 Zn 2.64-2.94, 3 Ag 2.69-2.83
Ag 0.6462 0.0000 0.6462  10 Zn 2.64-2.94, 3 Ag 2.69-2.83
Ag 0.6462 0.6462 0.0000  10 Zn 2.64-2.94, 3 Ag 2.69-2.83
Ag 0.3538 0.3538 0.0000  10 Zn 2.64-2.94, 3 Ag 2.69-2.83
Zn 0.0000 0.7794 0.0000  6 Ag 2.66-2.81, 6 Zn 2.77-2.87
Zn 0.7794 0.0000 0.0000  6 Ag 2.66-2.81, 6 Zn 2.77-2.87
Zn 0.2206 0.2206 0.2206  6 Ag 2.66-2.81, 6 Zn 2.77-2.87
Zn 0.0000 0.0000 0.7794  6 Ag 2.66-2.81, 6 Zn 2.77-2.87
Zn 0.2855 0.6557 0.0000  4 Ag 2.61-2.90, 5 Zn 2.72-2.77
Zn 0.6557 0.2855 0.0000  4 Ag 2.61-2.90, 5 Zn 2.72-2.77
Zn 0.3443 0.3443 0.6298  4 Ag 2.61-2.90, 5 Zn 2.72-2.77
Zn 0.7145 0.7145 0.3702  4 Ag 2.61-2.90, 5 Zn 2.72-2.77
Zn 0.0000 0.6557 0.2855  4 Ag 2.61-2.90, 5 Zn 2.72-2.77
Zn 0.0000 0.2855 0.6557  4 Ag 2.61-2.90, 5 Zn 2.72-2.77
Zn 0.3702 0.7145 0.7145  4 Ag 2.61-2.90, 5 Zn 2.72-2.77
Zn 0.6298 0.3443 0.3443  4 Ag 2.61-2.90, 5 Zn 2.72-2.77
Zn 0.7145 0.3702 0.7145  4 Ag 2.61-2.90, 5 Zn 2.72-2.77
Zn 0.3443 0.6298 0.3443  4 Ag 2.61-2.90, 5 Zn 2.72-2.77
Zn 0.2855 0.0000 0.6557  4 Ag 2.61-2.90, 5 Zn 2.72-2.77
Zn 0.6557 0.0000 0.2855  4 Ag 2.61-2.90, 5 Zn 2.72-2.77